[1]
The following is a DFT calculation (PBE) of an optimized crystal structure of Dy4AlSe2.

Structure (extended XYZ):
```
14
Lattice="-1.580 1.288 -3.437 6.051 -3.069 -1.610 -6.535 -12.088 -1.523" Properties=species:S:1:pos:R:3 pbc="T T T"
Se -1.420 -5.994 -1.593
Al 2.539 -4.946 -3.021
Dy -1.104 -10.537 -5.763
Al -4.604 -8.923 -3.549
Dy -0.336 -5.220 -4.124
Dy -1.728 -8.649 -2.446
Se -0.645 -7.875 -4.977
Se 1.068 -1.394 -1.013
Dy -3.355 -11.658 -2.825
Dy -4.058 -5.400 -2.480
Dy -0.790 0.644 -1.718
Dy -0.961 -3.332 -0.807
Dy 1.290 -2.211 -3.745
Se -3.132 -12.475 -5.556
```

Output
* SG: No. 63
* E: -5.26 eV/atom

[2]
The following is a DFT calculation (PBE) of an optimized crystal structure of HfTh2Zr.

Structure (extended XYZ):
```
4
Lattice="3.791 0.000 0.000 0.000 3.791 0.000 0.000 0.000 7.575" Properties=species:S:1:pos:R:3 pbc="T T T"
Hf 1.895 1.895 0.000
Th 0.000 0.000 5.689
Zr 1.895 1.895 3.787
Th 0.000 0.000 1.886
```

Output
* SG: No. 123
* E_form: 0.17 eV per atom

[3]
The following is a DFT calculation (PBE) of an optimized crystal structure of DyMg4Cd15.

Structure (extended XYZ):
```
20
Lattice="4.582 0.000 0.000 0.000 4.582 0.000 0.000 0.000 21.342" Properties=species:S:1:pos:R:3 pbc="T T T"
Cd 2.291 2.291 0.000
Mg 0.000 0.000 12.759
Cd 0.000 2.291 2.260
Mg 0.000 0.000 4.322
Cd 2.291 0.000 10.671
Cd 2.291 0.000 19.083
Cd 2.291 0.000 2.260
Cd 0.000 2.291 14.896
Mg 0.000 0.000 8.583
Cd 2.291 2.291 12.819
Dy 0.000 0.000 0.000
Cd 2.291 0.000 14.896
Cd 2.291 0.000 6.446
Cd 0.000 2.291 6.446
Mg 0.000 0.000 17.020
Cd 2.291 2.291 4.394
Cd 0.000 2.291 10.671
Cd 2.291 2.291 8.523
Cd 0.000 2.291 19.083
Cd 2.291 2.291 16.949
```

Output
* SG: No. 123
* E_form: -0.11 eV per atom

[4]
The following is a DFT calculation (PBE) of an optimized crystal structure of La3HoFe.

Structure (extended XYZ):
```
5
Lattice="-5.105 1.724 -0.628 -1.042 -1.195 5.188 1.510 5.003 1.455" Properties=species:S:1:pos:R:3 pbc="T T T"
Ho -2.318 2.766 3.008
Fe 0.000 0.000 0.000
La -2.553 0.862 -0.314
La 0.755 2.501 0.728
La -0.521 -0.597 2.594
```

Output
* SG: No. 221
* E_form: 0.13 eV per atom

[5]
The following is a DFT calculation (PBE) of an optimized crystal structure of CaCdWN2.

Structure (extended XYZ):
```
5
Lattice="4.356 0.000 0.000 0.000 5.116 0.000 0.000 0.000 4.356" Properties=species:S:1:pos:R:3 pbc="T T T"
N 0.000 0.000 2.178
W 0.000 2.558 0.000
Cd 0.000 0.000 0.000
Ca 2.178 2.558 2.178
N 2.178 0.000 0.000
```

Output
* SG: No. 123
* E: -4.11 eV/atom

[6]
The following is a DFT calculation (PBE) of an optimized crystal structure of Rb2CdHg8.

Structure (extended XYZ):
```
11
Lattice="5.158 0.000 0.000 0.000 5.158 0.000 0.000 0.000 13.776" Properties=species:S:1:pos:R:3 pbc="T T T"
Hg 2.579 0.000 6.888
Hg 0.000 2.579 6.888
Hg 2.579 0.000 12.050
Hg 0.000 2.579 12.050
Hg 2.579 2.579 4.336
Rb 0.000 0.000 4.245
Hg 0.000 2.579 1.726
Cd 0.000 0.000 0.000
Hg 2.579 2.579 9.440
Rb 0.000 0.000 9.531
Hg 2.579 0.000 1.726
```

Output
* SG: No. 123
* E_form: -0.13 eV per atom

[7]
The following is a DFT calculation (PBE) of an optimized crystal structure of MnNi15Sb4.

Structure (extended XYZ):
```
20
Lattice="3.716 0.000 0.000 0.000 3.716 0.000 0.000 0.000 18.343" Properties=species:S:1:pos:R:3 pbc="T T T"
Ni 1.858 1.858 0.000
Ni 1.858 1.858 7.314
Ni 1.858 1.858 14.721
Ni 1.858 0.000 9.172
Ni 1.858 0.000 1.703
Ni 0.000 1.858 9.172
Ni 0.000 1.858 1.703
Ni 1.858 0.000 16.640
Ni 0.000 1.858 5.441
Ni 1.858 1.858 11.029
Sb 0.000 0.000 7.293
Ni 0.000 1.858 16.640
Ni 1.858 1.858 3.622
Ni 1.858 0.000 12.902
Mn 0.000 0.000 0.000
Sb 0.000 0.000 11.050
Sb 0.000 0.000 3.523
Sb 0.000 0.000 14.820
Ni 1.858 0.000 5.441
Ni 0.000 1.858 12.902
```

Output
* SG: No. 123
* E: -5.76 eV/atom

[8]
The following is a DFT calculation (PBE) of an optimized crystal structure of ZnGe3Se.

Structure (extended XYZ):
```
5
Lattice="-4.033 -2.647 -0.637 1.158 -0.637 -4.683 2.464 -4.033 1.158" Properties=species:S:1:pos:R:3 pbc="T T T"
Se -0.205 -3.659 -2.081
Ge -2.016 -1.324 -0.318
Ge 0.579 -0.319 -2.341
Zn 0.000 0.000 0.000
Ge 1.232 -2.016 0.579
```

Output
* SG: No. 221
* E: -3.17 eV/atom

[9]
The following is a DFT calculation (PBE) of an optimized crystal structure of Ce4AgSn.

Structure (extended XYZ):
```
6
Lattice="4.822 0.007 1.779 2.651 5.511 0.241 0.592 -1.698 5.850" Properties=species:S:1:pos:R:3 pbc="T T T"
Ce 1.699 -0.278 3.010
Ce 5.643 1.567 6.830
Ce 2.422 2.253 1.041
Ce 6.366 4.098 4.861
Ag 4.032 1.910 3.935
Sn 8.065 3.820 7.871
```

Output
* SG: No. 12
* E_form: -0.21 eV per atom

[10]
The following is a DFT calculation (PBE) of an optimized crystal structure of Nb2HRh.

Structure (extended XYZ):
```
4
Lattice="0.000 3.079 3.079 3.079 0.000 3.079 3.079 3.079 0.000" Properties=species:S:1:pos:R:3 pbc="T T T"
Nb 4.618 4.618 4.618
Nb 1.539 1.539 1.539
Rh 3.079 3.079 3.079
H 0.000 0.000 0.000
```

Output
* SG: No. 225
* E: -7.44 eV/atom

[11]
The following is a DFT calculation (PBE) of an optimized crystal structure of GaPt2Au2.

Structure (extended XYZ):
```
10
Lattice="6.817 0.000 0.000 0.000 6.817 0.000 0.000 0.000 3.855" Properties=species:S:1:pos:R:3 pbc="T T T"
Pt 4.443 5.783 1.927
Pt 2.374 1.034 1.927
Pt 1.034 4.443 1.927
Au 2.398 5.806 0.000
Au 4.419 1.011 0.000
Au 1.011 2.398 0.000
Au 5.806 4.419 0.000
Pt 5.783 2.374 1.927
Ga 3.408 3.408 0.000
Ga 0.000 0.000 0.000
```

Output
* SG: No. 127
* E_form: 0.09 eV per atom

[12]
The following is a DFT calculation (PBE) of an optimized crystal structure of SrCuRu2O7.

Structure (extended XYZ):
```
11
Lattice="-1.165 0.329 -3.645 -3.615 -0.702 1.092 1.020 9.183 2.528" Properties=species:S:1:pos:R:3 pbc="T T T"
O 0.000 0.000 0.000
O -1.668 7.290 -0.832
O -0.598 3.929 0.546
O -3.162 4.882 -0.572
O -2.878 6.679 1.523
Ru -3.446 6.748 -0.312
Cu -2.493 4.147 1.171
Ru -0.314 2.062 0.287
O -2.107 1.616 0.819
Sr -2.390 -0.186 -1.277
O -0.867 2.036 -1.562
```

Output
* SG: No. 119
* E: -6.50 eV/atom

[13]
The following is a DFT calculation (PBE) of an optimized crystal structure of Tl6O2F.

Structure (extended XYZ):
```
9
Lattice="6.501 -1.654 -1.548 -4.814 4.794 1.111 -2.389 2.711 10.256" Properties=species:S:1:pos:R:3 pbc="T T T"
Tl 1.447 2.042 5.497
Tl 5.817 -0.930 1.012
Tl -3.304 5.185 9.735
F -1.194 1.356 5.128
O -1.442 3.106 1.992
O 0.741 2.746 7.827
Tl 2.603 0.667 0.084
Tl -6.518 6.782 8.807
Tl -2.149 3.810 4.322
```

Output
* SG: No. 12
* E: -3.62 eV/atom

[14]
The following is a DFT calculation (PBE) of an optimized crystal structure of Y2MnRu.

Structure (extended XYZ):
```
4
Lattice="3.304 0.000 0.000 0.000 3.304 0.000 0.000 0.000 8.131" Properties=species:S:1:pos:R:3 pbc="T T T"
Mn 0.000 0.000 4.543
Y 0.000 0.000 7.566
Ru 1.652 1.652 5.712
Y 1.652 1.652 2.508
```

Output
* SG: No. 99
* E_form: 0.05 eV per atom

[15]
The following is a DFT calculation (PBE) of an optimized crystal structure of La2TeAs2.

Structure (extended XYZ):
```
10
Lattice="8.234 0.000 0.000 0.000 8.234 0.000 0.000 0.000 4.071" Properties=species:S:1:pos:R:3 pbc="T T T"
La 1.333 5.450 2.036
Te 4.117 4.117 0.000
Te 0.000 0.000 0.000
As 1.192 2.925 0.000
As 2.925 7.042 0.000
As 7.042 5.309 0.000
As 5.309 1.192 0.000
La 2.784 1.333 2.036
La 5.450 6.901 2.036
La 6.901 2.784 2.036
```

Output
* SG: No. 127
* E: -5.59 eV/atom

[16]
The following is a DFT calculation (PBE) of an optimized crystal structure of PaAuC.

Structure (extended XYZ):
```
3
Lattice="3.349 0.000 0.000 0.000 3.349 0.000 -1.674 -1.674 5.183" Properties=species:S:1:pos:R:3 pbc="T T T"
C 0.000 0.000 2.712
Au 0.000 0.000 0.160
Pa 1.674 1.674 2.311
```

Output
* SG: No. 107
* E_form: 0.08 eV per atom

[17]
The following is a DFT calculation (PBE) of an optimized crystal structure of La4BeP.

Structure (extended XYZ):
```
6
Lattice="0.000 4.429 4.429 4.429 0.000 4.429 4.429 4.429 0.000" Properties=species:S:1:pos:R:3 pbc="T T T"
P 6.644 6.644 6.644
La 3.329 3.329 3.329
La 5.529 3.329 5.529
Be 0.000 0.000 0.000
La 5.529 5.529 3.329
La 3.329 5.529 5.529
```

Output
* SG: No. 216
* E_form: 0.59 eV per atom

[18]
The following is a DFT calculation (PBE) of an optimized crystal structure of In2SiN.

Structure (extended XYZ):
```
8
Lattice="2.957 0.000 0.000 0.000 9.608 0.000 0.000 0.000 6.109" Properties=species:S:1:pos:R:3 pbc="T T T"
N 0.000 4.804 5.837
In 0.000 7.225 0.364
Si 0.000 0.000 1.825
N 1.479 0.000 2.783
In 0.000 2.382 0.364
Si 1.479 4.804 4.879
In 1.479 7.186 3.418
In 1.479 2.421 3.418
```

Output
* SG: No. 44
* E: -4.72 eV/atom

[19]
The following is a DFT calculation (PBE) of an optimized crystal structure of CoRe2Si.

Structure (extended XYZ):
```
4
Lattice="-0.228 1.220 -3.613 -2.497 -2.668 -0.743 -2.760 2.317 0.957" Properties=species:S:1:pos:R:3 pbc="T T T"
Re -2.628 -0.175 0.107
Co -1.494 1.768 -1.328
Si -1.362 -0.724 -2.178
Re 0.000 0.000 0.000
```

Output
* SG: No. 123
* E: -9.21 eV/atom

[20]
The following is a DFT calculation (PBE) of an optimized crystal structure of Sr2Cd3Hg2.

Structure (extended XYZ):
```
7
Lattice="5.029 0.000 0.000 -2.514 5.551 0.072 0.000 -2.463 7.135" Properties=species:S:1:pos:R:3 pbc="T T T"
Cd 2.514 0.144 3.047
Hg 0.000 1.257 1.648
Cd 2.514 0.000 0.000
Cd 0.000 2.944 4.160
Sr 0.000 -0.350 5.528
Sr 2.514 3.438 1.679
Hg 2.514 1.831 5.559
```

Output
* SG: No. 12
* E_form: -0.36 eV per atom